# La3Sb2Se (GGA-PBE, optimized geometry)
# Fermi-level density of states	24.90	states/eV/cell
# calculated total energy	-0.437	Ry/atom
# formation energy from raw total energies	-1.53	eV/atom
data_La3Sb2Se
_chemical_formula_sum 'La48 Sb32 Se16'
_space_group_name_H-M_alt 'F d d d'
_space_group_IT_number 70
_cell_length_a 9.0397
_cell_length_b 12.8073
_cell_length_c 27.1970
_cell_angle_alpha 90.00
_cell_angle_beta 90.00
_cell_angle_gamma 90.00
loop_
_space_group_symop_operation_xyz
'x,y,z'
'-x,-y,-z'
'-x+1/4,-y+1/4,z'
'x+1/4,y+1/4,-z'
'x,-y+1/4,-z+1/4'
'-x,y+1/4,z+1/4'
'-x+1/4,y,-z+1/4'
'x+1/4,-y,z+1/4'
'x,y+1/2,z+1/2'
'-x,-y+1/2,-z+1/2'
'-x+1/4,-y+3/4,z+1/2'
'x+1/4,y+3/4,-z+1/2'
'x,-y+3/4,-z+3/4'
'-x,y+3/4,z+3/4'
'-x+1/4,y+1/2,-z+3/4'
'x+1/4,-y+1/2,z+3/4'
'x+1/2,y,z+1/2'
'-x+1/2,-y,-z+1/2'
'-x+3/4,-y+1/4,z+1/2'
'x+3/4,y+1/4,-z+1/2'
'x+1/2,-y+1/4,-z+3/4'
'-x+1/2,y+1/4,z+3/4'
'-x+3/4,y,-z+3/4'
'x+3/4,-y,z+3/4'
'x+1/2,y+1/2,z'
'-x+1/2,-y+1/2,-z'
'-x+3/4,-y+3/4,z'
'x+3/4,y+3/4,-z'
'x+1/2,-y+3/4,-z+1/4'
'-x+1/2,y+3/4,z+1/4'
'-x+3/4,y+1/2,-z+1/4'
'x+3/4,-y+1/2,z+1/4'
loop_
_atom_site_label
_atom_site_type_symbol
_atom_site_fract_x
_atom_site_fract_y
_atom_site_fract_z
La1 La 0.1176 0.3750 0.3750
La2 La 0.1220 0.3723 0.2097
Sb1 Sb 0.1250 0.1250 0.3758
Sb2 Sb 0.1250 0.1250 0.5427
Se1 Se 0.1250 0.1250 0.0416

***

# Pm2Si2Hg3 (GGA-PBE, optimized geometry)
# Fermi-level density of states	6.45	states/eV/cell
# calculated total energy	-0.254	Ry/atom
# formation energy from raw total energies	-0.42	eV/atom
data_Pm2Si2Hg3
_chemical_formula_sum 'Pm4 Si4 Hg6'
_space_group_name_H-M_alt 'C 1 2/m 1'
_space_group_IT_number 12
_space_group_name_Hall '-C 2y'
_cell_length_a 10.8909
_cell_length_b 4.3888
_cell_length_c 6.7561
_cell_angle_alpha 90.00
_cell_angle_beta 96.47
_cell_angle_gamma 90.00
loop_
_atom_site_label
_atom_site_type_symbol
_atom_site_fract_x
_atom_site_fract_y
_atom_site_fract_z
Pm1 Pm 0.1294 0.0000 0.3370
Si1 Si 0.0810 0.5000 0.6293
Hg1 Hg 0.0000 0.5000 0.0000
Hg2 Hg 0.1909 0.0000 0.8483

***

# CrRe4Rh (GGA-PBE, optimized geometry)
# energy relative to the elements	0.42	eV/atom
# Fermi-level density of states	19.26	states/eV/cell
# calculated total energy	-0.787	Ry/atom
data_CrRe4Rh
_chemical_formula_sum 'Cr4 Re16 Rh4'
_space_group_name_H-M_alt 'F -4 3 m'
_space_group_IT_number 216
_space_group_name_Hall 'F -4 2 3'
_cell_length_a 7.2225
_cell_length_b 7.2225
_cell_length_c 7.2225
_cell_angle_alpha 90.00
_cell_angle_beta 90.00
_cell_angle_gamma 90.00
loop_
_atom_site_label
_atom_site_type_symbol
_atom_site_fract_x
_atom_site_fract_y
_atom_site_fract_z
Cr1 Cr 0.0000 0.0000 0.0000
Re1 Re 0.1247 0.1247 0.6247
Rh1 Rh 0.2500 0.2500 0.2500

***

# La2BiF11 (GGA-PBE, optimized geometry)
# calculated total energy	-0.408	Ry/atom
# formation energy from raw total energies	-3.10	eV/atom
data_La2BiF11
_chemical_formula_sum 'La8 Bi4 F44'
_space_group_name_H-M_alt 'I b a m'
_space_group_IT_number 72
_space_group_name_Hall '-I 2 2c'
_cell_length_a 8.5010
_cell_length_b 10.7683
_cell_length_c 11.1417
_cell_angle_alpha 90.00
_cell_angle_beta 90.00
_cell_angle_gamma 90.00
loop_
_atom_site_label
_atom_site_type_symbol
_atom_site_fract_x
_atom_site_fract_y
_atom_site_fract_z
La1 La 0.1414 0.1825 0.0000
Bi1 Bi 0.0000 0.5000 0.2500
F1 F 0.0000 0.0000 0.0000
F2 F 0.0873 0.3418 0.1514
F3 F 0.1260 0.2176 0.5000
F4 F 0.1952 0.4374 0.3564

***

# PrYMg2Hg4 (GGA-PBE, optimized geometry)
# energy relative to the elements	-0.47	eV/atom
# Fermi-level density of states	7.71	states/eV/cell
# calculated total energy	-0.178	Ry/atom
data_PrYMg2Hg4
_chemical_formula_sum 'Pr3 Y3 Mg6 Hg12'
_space_group_name_H-M_alt 'R -3 m'
_space_group_IT_number 166
_space_group_name_Hall '-R 3 2"'
_cell_length_a 5.1310
_cell_length_b 5.1310
_cell_length_c 25.3065
_cell_angle_alpha 90.00
_cell_angle_beta 90.00
_cell_angle_gamma 120.00
loop_
_atom_site_label
_atom_site_type_symbol
_atom_site_fract_x
_atom_site_fract_y
_atom_site_fract_z
Pr1 Pr 0.0000 0.0000 0.0000
Y1 Y 0.0000 0.0000 0.5000
Mg1 Mg 0.0000 0.0000 0.2494
Hg1 Hg 0.0000 0.0000 0.1275
Hg2 Hg 0.0000 0.0000 0.3783

***

# Ba6PPd2I2 (GGA-PBE, optimized geometry)
# Fermi-level density of states	14.86	states/eV/cell
# calculated total energy	-0.271	Ry/atom
# formation energy from raw total energies	-0.92	eV/atom
data_Ba6PPd2I2
_chemical_formula_sum 'Ba12 P2 Pd4 I4'
_space_group_name_H-M_alt 'C 1 2/m 1'
_space_group_IT_number 12
_space_group_name_Hall '-C 2y'
_cell_length_a 8.2902
_cell_length_b 14.1236
_cell_length_c 8.8346
_cell_angle_alpha 90.00
_cell_angle_beta 108.30
_cell_angle_gamma 90.00
loop_
_atom_site_label
_atom_site_type_symbol
_atom_site_fract_x
_atom_site_fract_y
_atom_site_fract_z
Ba1 Ba 0.2352 0.1627 0.2065
Ba2 Ba 0.2372 0.5000 0.1979
P1 P 0.0000 0.0000 0.0000
Pd1 Pd 0.0000 0.3299 0.0000
I1 I 0.0000 0.1640 0.5000

***

# Na2TcW (GGA-PBE, optimized geometry)
# energy relative to the elements	2.07	eV/atom
# Fermi-level density of states	25.14	states/eV/cell
# energy above the lowest structure with this stoichiometry	0.349	eV per atom
# calculated total energy	-0.325	Ry/atom
data_Na2TcW
_chemical_formula_sum 'Na8 Tc4 W4'
_space_group_name_H-M_alt 'F m -3 m'
_space_group_IT_number 225
_space_group_name_Hall '-F 4 2 3'
_cell_length_a 6.5761
_cell_length_b 6.5761
_cell_length_c 6.5761
_cell_angle_alpha 90.00
_cell_angle_beta 90.00
_cell_angle_gamma 90.00
loop_
_atom_site_label
_atom_site_type_symbol
_atom_site_fract_x
_atom_site_fract_y
_atom_site_fract_z
Na1 Na 0.2500 0.2500 0.2500
Tc1 Tc 0.0000 0.0000 0.0000
W1 W 0.0000 0.0000 0.5000

***

# Li4Sn3Sb (GGA-PBE, optimized geometry)
# Fermi-level density of states	2.92	states/eV/cell
# calculated total energy	-0.243	Ry/atom
# formation energy from raw total energies	-0.33	eV/atom
data_Li4Sn3Sb
_chemical_formula_sum 'Li4 Sn3 Sb1'
_space_group_name_H-M_alt 'P 4/m m m'
_space_group_IT_number 123
_space_group_name_Hall '-P 4 2'
_cell_length_a 3.3073
_cell_length_b 3.3073
_cell_length_c 15.1907
_cell_angle_alpha 90.00
_cell_angle_beta 90.00
_cell_angle_gamma 90.00
loop_
_atom_site_label
_atom_site_type_symbol
_atom_site_fract_x
_atom_site_fract_y
_atom_site_fract_z
Li1 Li 0.0000 0.0000 0.1211
Li2 Li 0.0000 0.0000 0.3725
Sn1 Sn 0.5000 0.5000 0.0000
Sn2 Sn 0.5000 0.5000 0.2419
Sb1 Sb 0.5000 0.5000 0.5000

***

# Dy12ScIn6 (GGA-PBE, optimized geometry)
# energy relative to the elements	-0.22	eV/atom
# Fermi-level density of states	65.99	states/eV/cell
# calculated total energy	-0.318	Ry/atom
data_Dy12ScIn6
_chemical_formula_sum 'Dy36 Sc3 In18'
_space_group_name_H-M_alt 'R -3'
_space_group_IT_number 148
_space_group_name_Hall '-R 3'
_cell_length_a 11.3590
_cell_length_b 11.3590
_cell_length_c 14.3597
_cell_angle_alpha 90.00
_cell_angle_beta 90.00
_cell_angle_gamma 120.00
loop_
_atom_site_label
_atom_site_type_symbol
_atom_site_fract_x
_atom_site_fract_y
_atom_site_fract_z
Dy1 Dy 0.0654 0.2160 0.4093
Dy2 Dy 0.0670 0.8800 0.8071
Sc1 Sc 0.0000 0.0000 0.0000
In1 In 0.0338 0.5904 0.7134

***

# NaPrTm2Se4 (GGA-PBE, optimized geometry)
# Fermi-level density of states	2.57	states/eV/cell
# calculated total energy	-0.393	Ry/atom
# formation energy from raw total energies	-1.72	eV/atom
data_NaPrTm2Se4
_chemical_formula_sum 'Na1 Pr1 Tm2 Se4'
_space_group_name_H-M_alt 'P 1 2/m 1'
_space_group_IT_number 10
_space_group_name_Hall '-P 2y'
_cell_length_a 7.1559
_cell_length_b 4.0761
_cell_length_c 7.2284
_cell_angle_alpha 90.00
_cell_angle_beta 108.74
_cell_angle_gamma 90.00
loop_
_atom_site_label
_atom_site_type_symbol
_atom_site_fract_x
_atom_site_fract_y
_atom_site_fract_z
Na1 Na 0.0000 0.0000 0.0000
Pr1 Pr 0.5000 0.5000 0.0000
Tm1 Tm 0.0000 0.5000 0.5000
Tm2 Tm 0.5000 0.0000 0.5000
Se1 Se 0.2389 0.0000 0.7331
Se2 Se 0.2532 0.5000 0.2670

***

# LiCr2Ni (GGA-PBE, optimized geometry)
# energy relative to the elements	0.24	eV/atom
# Fermi-level density of states	4.58	states/eV/cell
# energy above the lowest structure with this stoichiometry	0.070	eV per atom
# calculated total energy	-0.478	Ry/atom
data_LiCr2Ni
_chemical_formula_sum 'Li1 Cr2 Ni1'
_space_group_name_H-M_alt 'P 4 m m'
_space_group_IT_number 99
_space_group_name_Hall 'P 4 -2'
_cell_length_a 2.4318
_cell_length_b 2.4318
_cell_length_c 8.0433
_cell_angle_alpha 90.00
_cell_angle_beta 90.00
_cell_angle_gamma 90.00
loop_
_atom_site_label
_atom_site_type_symbol
_atom_site_fract_x
_atom_site_fract_y
_atom_site_fract_z
Li1 Li 0.0000 0.0000 0.0000
Cr1 Cr 0.0000 0.0000 0.4593
Cr2 Cr 0.5000 0.5000 0.7146
Ni1 Ni 0.5000 0.5000 0.2434

***

# DyMg6Cd6 (GGA-PBE, optimized geometry)
# energy relative to the elements	-0.12	eV/atom
# Fermi-level density of states	8.77	states/eV/cell
# calculated total energy	-0.120	Ry/atom
data_DyMg6Cd6
_chemical_formula_sum 'Dy2 Mg12 Cd12'
_space_group_name_H-M_alt 'I m m m'
_space_group_IT_number 71
_space_group_name_Hall '-I 2 2'
_cell_length_a 5.8891
_cell_length_b 9.9522
_cell_length_c 10.0187
_cell_angle_alpha 90.00
_cell_angle_beta 90.00
_cell_angle_gamma 90.00
loop_
_atom_site_label
_atom_site_type_symbol
_atom_site_fract_x
_atom_site_fract_y
_atom_site_fract_z
Dy1 Dy 0.0000 0.0000 0.0000
Mg1 Mg 0.0000 0.0000 0.3490
Mg2 Mg 0.0000 0.3501 0.0000
Mg3 Mg 0.0000 0.5000 0.2925
Cd1 Cd 0.0000 0.2876 0.5000
Cd2 Cd 0.2500 0.2500 0.2500